The following is a DFT calculation (GGA-PBE) of Er3HfAl8 after structural relaxation.

Results
Calculated formation energy in eV per atom: -0.480
Relative energy among the computed polymorphs in meV/atom: 0

The structure in POSCAR format:
```
Er3HfAl8
1.0
5.457 0.000 0.000
2.729 4.726 0.000
2.729 1.575 8.939
Er Hf Al
3 1 8
direct
0.375 0.375 0.875 Er
0.999 0.999 0.003 Er
0.501 0.501 0.498 Er
0.875 0.875 0.375 Hf
0.935 0.436 0.192 Al
0.440 0.938 0.683 Al
0.436 0.436 0.192 Al
0.938 0.938 0.683 Al
0.188 0.188 0.437 Al
0.687 0.687 0.938 Al
0.436 0.935 0.192 Al
0.938 0.440 0.683 Al
```